No. 1
DFT (GGA-PBE) results for a geometry-optimized Dy5Y4Tm4 structure.

Structure (POSCAR):
```
Dy5Y4Tm4
1.0
-6.376 6.376 2.494
6.376 -6.376 2.494
6.376 6.376 -2.494
Dy Y Tm
5 4 4
direct
0.000 0.000 0.000
0.307 0.462 0.769
0.462 0.693 0.155
0.538 0.307 0.845
0.693 0.538 0.231
0.154 0.231 0.385
0.231 0.846 0.078
0.769 0.154 0.922
0.846 0.769 0.615
0.076 0.614 0.690
0.386 0.076 0.462
0.614 0.924 0.538
0.924 0.386 0.310
```

## Properties
Magnetization: 0.0 μB per formula unit
Space-group type: I4/m (87)

=====

No. 2
DFT (GGA-PBE) results for a geometry-optimized RbGe3Pt5 structure.

Structure (POSCAR):
```
RbGe3Pt5
1.0
2.019 -6.619 0.000
2.019 6.619 0.000
0.000 0.000 13.062
Rb Ge Pt
2 6 10
direct
0.163 0.837 0.750
0.837 0.163 0.250
0.107 0.893 0.250
0.382 0.618 0.043
0.382 0.618 0.457
0.618 0.382 0.543
0.618 0.382 0.957
0.893 0.107 0.750
0.000 0.000 0.000
0.000 0.000 0.500
0.200 0.800 0.066
0.200 0.800 0.434
0.444 0.556 0.642
0.444 0.556 0.858
0.556 0.444 0.142
0.556 0.444 0.358
0.800 0.200 0.566
0.800 0.200 0.934
```

## Properties
Magnetization: 0.0 μB per formula unit
Space-group type: Cmcm (63)

=====

| no. | formation enthalpy at 0 K (meV/atom) |
| --- | --- |
| 1 | 24 |
| 2 | -436 |